Material: Mg2Te
Method: DFT, PBE-GGA
State: optimized geometry

Structure (POSCAR):
```
Mg2Te
1.0
7.0121 0.0000 0.0000
0.0000 7.0121 0.0000
0.0000 0.0000 4.2240
Mg Te
4 2
Cartesian
1.4608 1.4608 0.0000 Mg
2.0453 4.9668 2.1120 Mg
4.9668 2.0453 2.1120 Mg
5.5514 5.5514 0.0000 Mg
0.0000 0.0000 2.1120 Te
3.5061 3.5061 0.0000 Te
```

Properties
For the uncorrected formation energy, the calculation gives 0.01 eV/atom.

***

Material: ThTlBi2
Method: DFT, PBE-GGA
State: optimized geometry

Structure (POSCAR):
```
ThTlBi2
1.0
2.3788 1.3734 7.6662
-2.3788 1.3734 7.6662
0.0000 -2.7468 7.6662
Th Tl Bi
1 1 2
Cartesian
0.0000 0.0000 0.0000 Th
0.0000 0.0000 3.9339 Tl
0.0000 0.0000 9.3796 Bi
0.0000 0.0000 13.5708 Bi
```

Properties
The calculated formation energy comes out at -3.5 kcal/mol of atoms.

***

Q: Which formula does entry 1 have?
A: Mg2Te